DFT (PBE with a Hubbard U) results for a relaxed structure of SrMnMo2O8.

```
data_SrMnMo2O8
_cell_length_a 6.265
_cell_length_b 6.265
_cell_length_c 6.265
_cell_angle_alpha 106.91
_cell_angle_beta 106.91
_cell_angle_gamma 114.74
_symmetry_space_group_name_H-M 'P 1'
_symmetry_Int_Tables_number 1
loop_
_symmetry_equiv_pos_as_xyz
'x,y,z'
loop_
_atom_site_label
_atom_site_fract_x
_atom_site_fract_y
_atom_site_fract_z
Sr1 0.000 0.000 0.000
Mn1 0.250 0.750 0.500
Mo1 0.500 0.500 0.000
Mo2 0.750 0.250 0.500
O1 0.341 0.146 0.805
O2 0.341 0.536 0.195
O3 0.397 0.082 0.315
O4 0.464 0.659 0.805
O5 0.766 0.082 0.685
O6 0.854 0.659 0.195
O7 0.918 0.234 0.315
O8 0.918 0.603 0.685
```

Computed properties:
The value obtained for the total DFT energy (no corrections) is -7.153 eV per atom. The value obtained for the density of states at the Fermi level is 0.000 states/eV/cell. For the mass density, the calculation gives 4.08 Mg/m³.